(1)
A plane-wave DFT calculation with PBE was carried out for a geometry-optimized Li2CaHgPb structure.

Values from the calculation:
Volume, Å³ per cell: 148
Magnetic moment, μB/cell: 0.0
SG: P4/mmm (123)
ΔH_f (0 K), eV/f.u.: -0.5
Raw total energy, eV per cell: -10.3

a = 5.012 Å, b = 5.012 Å, c = 5.887 Å
α = 90.00°, β = 90.00°, γ = 90.00°
Fractional positions:
Li: 0.000 0.500 0.000
Li: 0.500 0.000 0.000
Ca: 0.000 0.000 0.500
Hg: 0.500 0.500 0.000
Pb: 0.500 0.500 0.500

---

(2)
A plane-wave DFT calculation with PBE was carried out for a geometry-optimized LiCaHg2Pb structure.

Values from the calculation:
Volume, Å³ per cell: 130
Magnetic moment, μB/cell: 0.0
SG: P4/mmm (123)
ΔH_f (0 K), eV/f.u.: -1.0
Raw total energy, eV per cell: -9.3

a = 4.990 Å, b = 4.990 Å, c = 5.213 Å
α = 90.00°, β = 90.00°, γ = 90.00°
Fractional positions:
Li: 0.000 0.000 0.000
Ca: 0.500 0.500 0.500
Hg: 0.000 0.500 0.000
Hg: 0.500 0.000 0.000
Pb: 0.000 0.000 0.500

---

(3)
A plane-wave DFT calculation with PBE was carried out for a geometry-optimized Li2CaHg4Pb structure.

Values from the calculation:
Volume, Å³ per cell: 195
Magnetic moment, μB/cell: 0.0
SG: R-3m (166)
ΔH_f (0 K), eV/f.u.: -2.5
Raw total energy, eV per cell: -13.2

a = 10.243 Å, b = 10.243 Å, c = 10.243 Å
α = 27.00°, β = 27.00°, γ = 27.00°
Fractional positions:
Li: 0.235 0.235 0.235
Li: 0.765 0.765 0.765
Ca: 0.000 0.000 0.000
Hg: 0.111 0.111 0.111
Hg: 0.386 0.386 0.386
Hg: 0.614 0.614 0.614
Hg: 0.889 0.889 0.889
Pb: 0.500 0.500 0.500

---

(4)
A plane-wave DFT calculation with PBE was carried out for a geometry-optimized Li2CaHgPd structure.

Values from the calculation:
Volume, Å³ per cell: 118
Magnetic moment, μB/cell: 0.0
SG: P4/mmm (123)
ΔH_f (0 K), eV/f.u.: -1.2
Raw total energy, eV per cell: -12.5

a = 4.706 Å, b = 4.706 Å, c = 5.324 Å
α = 90.00°, β = 90.00°, γ = 90.00°
Fractional positions:
Li: 0.000 0.500 0.000
Li: 0.500 0.000 0.000
Ca: 0.000 0.000 0.500
Hg: 0.500 0.500 0.500
Pd: 0.500 0.500 0.000

---

(5)
A plane-wave DFT calculation with PBE was carried out for a geometry-optimized Li2Ca2HgPd5 structure.

Values from the calculation:
Volume, Å³ per cell: 353
Magnetic moment, μB/cell: 0.0
SG: P4/mbm (127)
ΔH_f (0 K), eV/f.u.: -5.3
Raw total energy, eV per cell: -78.8

a = 9.597 Å, b = 9.597 Å, c = 3.831 Å
α = 90.00°, β = 90.00°, γ = 90.00°
Fractional positions:
Li: 0.117 0.383 0.000
Li: 0.383 0.883 0.000
Li: 0.617 0.117 0.000
Li: 0.883 0.617 0.000
Ca: 0.181 0.681 0.000
Ca: 0.319 0.181 0.000
Ca: 0.681 0.819 0.000
Ca: 0.819 0.319 0.000
Hg: 0.000 0.000 0.000
Hg: 0.500 0.500 0.000
Pd: 0.000 0.500 0.500
Pd: 0.065 0.213 0.500
Pd: 0.213 0.935 0.500
Pd: 0.287 0.435 0.500
Pd: 0.435 0.713 0.500
Pd: 0.500 0.000 0.500
Pd: 0.565 0.287 0.500
Pd: 0.713 0.565 0.500
Pd: 0.787 0.065 0.500
Pd: 0.935 0.787 0.500

---

(6)
A plane-wave DFT calculation with PBE was carried out for a geometry-optimized LiCaHg4Pd2 structure.

Values from the calculation:
Volume, Å³ per cell: 161
Magnetic moment, μB/cell: 0.0
SG: R-3m (166)
ΔH_f (0 K), eV/f.u.: -2.9
Raw total energy, eV per cell: -18.4

a = 8.481 Å, b = 8.481 Å, c = 8.481 Å
α = 32.96°, β = 32.96°, γ = 32.96°
Fractional positions:
Li: 0.000 0.000 0.000
Ca: 0.500 0.500 0.500
Hg: 0.115 0.115 0.115
Hg: 0.369 0.369 0.369
Hg: 0.631 0.631 0.631
Hg: 0.885 0.885 0.885
Pd: 0.249 0.249 0.249
Pd: 0.751 0.751 0.751

---

(7)
A plane-wave DFT calculation with PBE was carried out for a geometry-optimized LiCa2PmHg4 structure.

Values from the calculation:
Volume, Å³ per cell: 207
Magnetic moment, μB/cell: 0.0
SG: R-3m (166)
ΔH_f (0 K), eV/f.u.: -3.7
Raw total energy, eV per cell: -15.6

a = 9.228 Å, b = 9.228 Å, c = 9.228 Å
α = 32.98°, β = 32.98°, γ = 32.98°
Fractional positions:
Li: 0.000 0.000 0.000
Ca: 0.255 0.255 0.255
Ca: 0.745 0.745 0.745
Pm: 0.500 0.500 0.500
Hg: 0.123 0.123 0.123
Hg: 0.375 0.375 0.375
Hg: 0.625 0.625 0.625
Hg: 0.877 0.877 0.877

---

(8)
A plane-wave DFT calculation with PBE was carried out for a geometry-optimized Li2CaPmHg2 structure.

Values from the calculation:
Volume, Å³ per cell: 148
Magnetic moment, μB/cell: 0.0
SG: P-3m1 (164)
ΔH_f (0 K), eV/f.u.: -2.0
Raw total energy, eV per cell: -13.2

a = 4.873 Å, b = 4.873 Å, c = 7.194 Å
α = 90.00°, β = 90.00°, γ = 120.00°
Fractional positions:
Li: 0.333 0.667 0.249
Li: 0.667 0.333 0.751
Ca: 0.000 0.000 0.000
Pm: 0.000 0.000 0.500
Hg: 0.333 0.667 0.731
Hg: 0.667 0.333 0.269

---

(9)
A plane-wave DFT calculation with PBE was carried out for a geometry-optimized LiCaPmHg structure.

Values from the calculation:
Volume, Å³ per cell: 108
Magnetic moment, μB/cell: 0.0
SG: F-43m (216)
ΔH_f (0 K), eV/f.u.: -1.1
Raw total energy, eV per cell: -10.0

a = 5.349 Å, b = 5.349 Å, c = 5.349 Å
α = 60.00°, β = 60.00°, γ = 60.00°
Fractional positions:
Li: 0.000 0.000 0.000
Ca: 0.750 0.750 0.750
Pm: 0.250 0.250 0.250
Hg: 0.500 0.500 0.500

---

(10)
A plane-wave DFT calculation with PBE was carried out for a geometry-optimized Li2CaPrHg4 structure.

Values from the calculation:
Volume, Å³ per cell: 193
Magnetic moment, μB/cell: 0.0
SG: R-3m (166)
ΔH_f (0 K), eV/f.u.: -3.5
Raw total energy, eV per cell: -15.3

a = 9.044 Å, b = 9.044 Å, c = 9.044 Å
α = 32.78°, β = 32.78°, γ = 32.78°
Fractional positions:
Li: 0.248 0.248 0.248
Li: 0.752 0.752 0.752
Ca: 0.500 0.500 0.500
Pr: 0.000 0.000 0.000
Hg: 0.124 0.124 0.124
Hg: 0.378 0.378 0.378
Hg: 0.622 0.622 0.622
Hg: 0.876 0.876 0.876

---

(11)
A plane-wave DFT calculation with PBE was carried out for a geometry-optimized LiCaPrHg structure.

Values from the calculation:
Volume, Å³ per cell: 111
Magnetic moment, μB/cell: 0.0
SG: F-43m (216)
ΔH_f (0 K), eV/f.u.: -1.1
Raw total energy, eV per cell: -10.1

a = 5.394 Å, b = 5.394 Å, c = 5.394 Å
α = 60.00°, β = 60.00°, γ = 60.00°
Fractional positions:
Li: 0.000 0.000 0.000
Ca: 0.250 0.250 0.250
Pr: 0.750 0.750 0.750
Hg: 0.500 0.500 0.500

---

(12)
A plane-wave DFT calculation with PBE was carried out for a geometry-optimized LiCa2PrHg4 structure.

Values from the calculation:
Volume, Å³ per cell: 210
Magnetic moment, μB/cell: 0.0
SG: R-3m (166)
ΔH_f (0 K), eV/f.u.: -3.7
Raw total energy, eV per cell: -15.6

a = 9.297 Å, b = 9.297 Å, c = 9.297 Å
α = 32.84°, β = 32.84°, γ = 32.84°
Fractional positions:
Li: 0.000 0.000 0.000
Ca: 0.255 0.255 0.255
Ca: 0.745 0.745 0.745
Pr: 0.500 0.500 0.500
Hg: 0.121 0.121 0.121
Hg: 0.374 0.374 0.374
Hg: 0.626 0.626 0.626
Hg: 0.879 0.879 0.879